Record 1
4
Lattice="-5.098 0.501 -0.660 -2.153 -1.251 -4.525 -2.982 -4.201 -0.367" Properties=species:S:1:pos:R:3 comment="GGA-PBE AcPrCuRu, optimized geometry" mass_density_g_cm3=9.08 magnetic_moment_mub_per_atom=0.000 de_polymorph_ev_per_fu=0.188 sg=F-43m delta_e_f_mev_per_atom=-84 pbc="T T T"
Ru -7.675 -3.713 -4.164
Ac 0.000 0.000 0.000
Pr -5.116 -2.475 -2.776
Cu -2.558 -1.238 -1.388

Record 2
4
Lattice="-0.237 -2.848 3.005 -2.771 -2.370 -2.465 4.413 -1.282 -3.729" Properties=species:S:1:pos:R:3 comment="GGA-PBE AcPrCuRu, optimized geometry" mass_density_g_cm3=8.74 magnetic_moment_mub_per_atom=0.000 de_polymorph_ev_per_fu=0.000 sg=Amm2 delta_e_f_mev_per_atom=-131 pbc="T T T"
Ac 1.233 -0.777 -0.639
Cu -0.934 -2.969 -0.026
Ru 3.651 -2.301 -1.893
Pr 1.630 -4.584 -1.355

Record 3
4
Lattice="5.482 0.000 0.000 2.741 4.748 0.000 2.741 1.583 4.476" Properties=species:S:1:pos:R:3 comment="GGA-PBE AcPrCuSb, optimized geometry" mass_density_g_cm3=7.88 magnetic_moment_mub_per_atom=0.000 e_tot_ev_per_atom=-4.737 sg=F-43m pbc="T T T"
Sb 8.223 4.748 3.357
Pr 0.000 0.000 0.000
Cu 2.741 1.583 1.119
Ac 5.482 3.165 2.238

Record 4
8
Lattice="6.983 0.000 0.000 3.491 5.463 0.080 3.491 0.527 5.438" Properties=species:S:1:pos:R:3 comment="GGA-PBE AcPrCu2Se4, optimized geometry" mass_density_g_cm3=6.50 magnetic_moment_mub_per_atom=0.000 e_tot_ev_per_atom=-5.033 sg=I222 pbc="T T T"
Se 8.784 3.195 5.061
Cu 3.491 2.051 1.889
Se 8.784 2.795 0.457
Se 5.182 0.684 2.748
Se 5.182 5.305 2.769
Ac 0.000 0.000 0.000
Pr 6.983 2.995 2.759
Cu 10.474 3.939 3.628

Record 5
4
Lattice="5.289 0.000 0.000 2.645 4.581 0.000 2.645 1.527 4.319" Properties=species:S:1:pos:R:3 comment="GGA-PBE AcPrCuSi, optimized geometry" mass_density_g_cm3=7.29 magnetic_moment_mub_per_atom=0.000 e_tot_ev_per_atom=-4.882 sg=F-43m pbc="T T T"
Ac 0.000 0.000 0.000
Cu 2.645 1.527 1.080
Pr 5.289 3.054 2.159
Si 7.934 4.581 3.239

Record 6
6
Lattice="4.270 0.000 0.000 -2.135 3.698 0.000 0.000 0.000 8.380" Properties=species:S:1:pos:R:3 comment="GGA-PBE AcPrCu2Si2, optimized geometry" mass_density_g_cm3=6.92 magnetic_moment_mub_per_atom=0.000 e_tot_ev_per_atom=-5.219 sg=P-3m1 pbc="T T T"
Cu 0.000 2.465 6.154
Si 2.135 1.233 6.169
Pr 0.000 0.000 4.190
Ac 0.000 0.000 0.000
Cu 2.135 1.233 2.226
Si 0.000 2.465 2.211

Record 7
4
Lattice="5.503 0.000 0.000 2.752 4.766 0.000 2.752 1.589 4.494" Properties=species:S:1:pos:R:3 comment="GGA-PBE AcPrCuSn, optimized geometry" mass_density_g_cm3=7.75 magnetic_moment_mub_per_atom=0.001 sg=F-43m delta_e_f_mev_per_atom=-359 pbc="T T T"
Sn 2.752 1.589 1.123
Pr 5.503 3.177 2.247
Cu 8.255 4.766 3.370
Ac 0.000 0.000 0.000

Record 8
7
Lattice="4.672 0.000 0.000 2.336 4.046 0.000 2.336 1.349 10.091" Properties=species:S:1:pos:R:3 comment="GGA-PBE AcPr2Cu2Sn2, optimized geometry" mass_density_g_cm3=7.60 magnetic_moment_mub_per_atom=0.000 sg=R-3m delta_e_f_mev_per_atom=-414 pbc="T T T"
Sn 2.336 1.349 2.211
Cu 4.672 2.697 2.409
Pr 7.007 4.046 3.956
Sn 7.007 4.046 7.880
Pr 2.336 1.349 6.135
Ac 0.000 0.000 0.000
Cu 4.672 2.697 7.682

Record 9
10
Lattice="4.677 0.000 0.000 0.000 4.677 0.000 0.000 0.000 11.995" Properties=species:S:1:pos:R:3 comment="GGA-PBE Ac2PrCu3Sn4, optimized geometry" mass_density_g_cm3=7.98 magnetic_moment_mub_per_atom=0.000 sg=P-4m2 delta_e_f_mev_per_atom=-441 pbc="T T T"
Cu 0.000 2.338 1.404
Sn 2.338 0.000 7.968
Sn 0.000 0.000 0.000
Cu 0.000 0.000 5.997
Sn 2.338 2.338 0.000
Pr 2.338 2.338 5.997
Ac 2.338 0.000 2.699
Cu 2.338 0.000 10.591
Sn 0.000 2.338 4.026
Ac 0.000 2.338 9.295

Record 10
4
Lattice="5.528 0.000 0.000 2.764 4.788 0.000 2.764 1.596 4.514" Properties=species:S:1:pos:R:3 comment="GGA-PBE AcPrTlCu, optimized geometry" mass_density_g_cm3=8.84 magnetic_moment_mub_per_atom=0.000 sg=F-43m delta_e_f_mev_per_atom=-174 pbc="T T T"
Tl 8.292 4.788 3.385
Pr 5.528 3.192 2.257
Cu 2.764 1.596 1.128
Ac 0.000 0.000 0.000

Record 11
9
Lattice="4.020 0.000 0.000 0.000 9.301 0.000 0.000 -4.651 8.055" Properties=species:S:1:pos:R:3 comment="GGA-PBE Ac3Pr3Tl2Cu, optimized geometry" mass_density_g_cm3=8.69 magnetic_moment_mub_per_atom=0.000 sg=P-62m delta_e_f_mev_per_atom=-194 pbc="T T T"
Cu 0.000 0.000 0.000
Pr 0.000 3.769 0.000
Pr 0.000 -1.884 3.264
Ac 2.010 -3.488 6.042
Ac 2.010 1.162 2.013
Ac 2.010 6.976 0.000
Tl 2.010 0.000 5.370
Tl 2.010 4.651 2.685
Pr 0.000 2.766 4.791

Record 12
7
Lattice="4.535 0.000 0.000 2.267 3.927 0.000 2.267 1.309 9.825" Properties=species:S:1:pos:R:3 comment="GGA-PBE AcPr2Zn2Cu2, optimized geometry" mass_density_g_cm3=7.28 magnetic_moment_mub_per_atom=0.000 sg=R-3m delta_e_f_mev_per_atom=-199 pbc="T T T"
Cu 4.535 2.618 7.764
Cu 4.535 2.618 2.061
Zn 6.802 3.927 7.680
Zn 2.267 1.309 2.146
Pr 2.267 1.309 6.176
Ac 0.000 0.000 0.000
Pr 6.802 3.927 3.649

Record 13
19
Lattice="-4.572 -0.495 -5.323 -1.355 -6.859 0.771 -5.810 0.785 3.887" Properties=species:S:1:pos:R:3 comment="GGA-PBE Ac2Cu2Pt15, optimized geometry" mass_density_g_cm3=17.02 magnetic_moment_mub_per_atom=0.000 sg=R-3m delta_e_f_mev_per_atom=-466 pbc="T T T"
Pt -2.333 -4.925 -1.081
Pt -2.286 -0.247 -2.661
Ac -7.758 -4.342 -0.439
Pt -4.702 -5.697 0.160
Pt -6.319 -2.499 -2.902
Pt -2.710 -4.535 1.719
Pt -4.456 -1.539 2.940
Pt -0.678 -3.430 0.386
Pt -2.905 0.393 1.944
Pt -7.036 -0.872 -0.824
Cu -10.656 -5.963 -0.603
Pt -4.949 -0.106 -2.523
Pt -6.940 -1.856 1.725
Pt -5.419 -4.070 2.238
Pt -4.798 -4.713 -2.390
Pt -3.595 -2.430 -3.470
Cu -1.082 -0.606 -0.061
Pt -5.434 0.396 1.087
Ac -3.980 -2.227 -0.225

Record 14
6
Lattice="5.461 0.000 0.000 2.731 4.730 0.000 2.731 1.577 4.459" Properties=species:S:1:pos:R:3 comment="GGA-PBE AcCuPt4, optimized geometry" mass_density_g_cm3=15.44 magnetic_moment_mub_per_atom=0.000 sg=F-43m delta_e_f_mev_per_atom=-578 pbc="T T T"
Pt 5.461 3.153 0.545
Cu 0.000 0.000 0.000
Pt 5.461 1.565 2.791
Ac 2.731 1.577 1.115
Pt 4.086 3.947 2.791
Pt 6.836 3.947 2.791

Record 15
8
Lattice="-2.351 -0.168 3.505 3.467 -2.173 2.221 4.221 10.122 3.315" Properties=species:S:1:pos:R:3 comment="GGA-PBE Ac4Cu3Pt, optimized geometry" mass_density_g_cm3=9.53 magnetic_moment_mub_per_atom=0.000 sg=Pmm2 delta_e_f_mev_per_atom=-402 pbc="T T T"
Cu 4.105 4.599 2.973
Ac 1.520 6.379 3.869
Ac 0.576 1.382 0.453
Cu 1.837 4.406 1.443
Ac 5.383 7.665 3.977
Ac 2.072 2.460 4.052
Pt 0.878 -0.405 3.114
Cu 2.746 9.319 4.832

Record 16
6
Lattice="-3.630 -3.027 -2.149 -1.953 -4.004 2.667 -4.889 0.176 1.738" Properties=species:S:1:pos:R:3 comment="GGA-PBE AcCu4Pt, optimized geometry" mass_density_g_cm3=11.35 magnetic_moment_mub_per_atom=0.000 sg=F-43m delta_e_f_mev_per_atom=-233 pbc="T T T"
Pt -2.618 -1.714 0.564
Cu -4.738 -2.780 2.464
Cu -6.526 -4.271 1.405
Cu -4.117 -4.358 0.549
Cu -5.564 -2.299 0.092
Ac 0.000 0.000 0.000

Record 17
4
Lattice="-0.171 -3.210 2.021 -1.816 -2.616 -4.310 5.036 -1.161 -1.418" Properties=species:S:1:pos:R:3 comment="GGA-PBE Ac2CuPt, optimized geometry" mass_density_g_cm3=10.85 magnetic_moment_mub_per_atom=0.000 sg=P4/mmm delta_e_f_mev_per_atom=-559 pbc="T T T"
Pt -0.086 -1.605 1.010
Ac 2.518 -0.580 -0.709
Ac -0.908 -1.308 -2.155
Cu 1.524 -3.493 -1.853

Record 18
26
Lattice="4.383 0.000 0.000 -2.192 7.278 0.008 0.000 -0.033 26.216" Properties=species:S:1:pos:R:3 comment="GGA-PBE Ac7CuPt5, optimized geometry" mass_density_g_cm3=10.44 magnetic_moment_mub_per_atom=0.000 sg=Cmcm delta_e_f_mev_per_atom=-937 pbc="T T T"
Ac 0.000 5.288 14.067
Pt 0.000 0.005 0.000
Pt 0.000 -0.013 13.108
Ac 2.192 0.711 19.662
Pt 2.192 3.285 15.015
Pt 0.000 6.643 22.388
Pt 0.000 3.981 1.908
Ac 0.000 6.541 6.561
Ac 0.000 2.588 8.551
Ac 2.192 1.964 12.156
Ac 2.192 5.956 10.345
Cu 2.192 4.196 6.559
Pt 2.192 3.274 24.316
Ac 0.000 2.594 4.563
Cu 0.000 3.053 19.665
Ac 0.000 1.296 15.879
Pt 0.000 6.649 16.950
Pt 2.192 0.603 9.273
Pt 2.192 0.611 3.836
Ac 2.192 4.664 17.672
Ac 0.000 1.287 23.448
Pt 0.000 3.968 11.209
Ac 2.192 1.980 0.956
Ac 2.192 5.967 2.776
Ac 2.192 4.660 21.661
Ac 0.000 5.275 25.268

Record 19
12
Lattice="4.326 0.000 0.000 0.000 5.308 0.000 0.000 0.000 9.489" Properties=species:S:1:pos:R:3 comment="GGA-PBE Ac2Cu5Pt5, optimized geometry" mass_density_g_cm3=13.32 magnetic_moment_mub_per_atom=0.000 sg=Pmmm delta_e_f_mev_per_atom=-577 pbc="T T T"
Pt 0.000 2.654 6.320
Pt 2.163 0.000 0.000
Cu 2.163 3.975 7.076
Pt 0.000 0.000 1.692
Pt 0.000 2.654 3.168
Cu 2.163 3.975 2.413
Cu 2.163 1.333 7.076
Cu 2.163 1.333 2.413
Pt 0.000 0.000 7.797
Cu 2.163 2.654 4.744
Ac 0.000 2.654 0.000
Ac 0.000 0.000 4.744

Record 20
10
Lattice="4.371 0.000 0.000 2.185 5.733 -0.101 2.185 0.720 10.164" Properties=species:S:1:pos:R:3 comment="GGA-PBE Ac2CuPt2, optimized geometry" mass_density_g_cm3=11.82 magnetic_moment_mub_per_atom=0.000 sg=C2/m delta_e_f_mev_per_atom=-885 pbc="T T T"
Ac 2.185 4.205 0.956
Pt 6.556 5.374 8.868
Cu 4.370 1.329 6.944
Pt 2.185 2.182 5.937
Ac 4.371 1.727 3.615
Pt 2.185 1.078 1.195
Ac 4.370 4.726 6.448
Pt 6.556 4.271 4.125
Cu 4.371 5.124 3.119
Ac 6.556 2.247 9.106

Record 21
8
Lattice="-0.249 -0.008 4.711 5.416 -2.803 0.282 1.080 8.244 0.071" Properties=species:S:1:pos:R:3 comment="GGA-PBE Ac2CuPt, optimized geometry" mass_density_g_cm3=10.51 magnetic_moment_mub_per_atom=0.000 sg=P2_1/m delta_e_f_mev_per_atom=-661 pbc="T T T"
Ac 2.067 7.018 3.664
Cu 4.183 4.663 3.772
Ac 4.737 2.488 1.436
Pt 3.710 0.531 3.740
Cu 2.064 0.771 1.292
Pt 2.537 4.903 1.323
Ac 4.181 -1.585 1.400
Ac 1.510 2.946 3.628

Record 22
12
Lattice="4.281 0.000 0.000 -2.140 7.041 -1.775 0.000 0.195 13.204" Properties=species:S:1:pos:R:3 comment="GGA-PBE Ac7CuPt4, optimized geometry" mass_density_g_cm3=10.11 magnetic_moment_mub_per_atom=0.000 sg=Cm delta_e_f_mev_per_atom=-804 pbc="T T T"
Ac 0.000 3.691 7.621
Ac 0.000 5.091 11.285
Ac 2.140 2.212 0.110
Pt 0.000 1.735 5.212
Pt 0.000 4.300 1.251
Ac 2.140 3.415 3.845
Pt 2.140 2.967 10.118
Ac 2.140 6.518 1.222
Ac 0.000 0.728 10.225
Cu 2.140 5.479 6.269
Ac 2.140 0.108 6.587
Pt 0.000 0.033 0.004

Record 23
6
Lattice="4.148 0.000 0.000 0.000 4.389 0.000 0.000 0.000 7.666" Properties=species:S:1:pos:R:3 comment="GGA-PBE Ac2Cu3Pt, optimized geometry" mass_density_g_cm3=9.99 magnetic_moment_mub_per_atom=0.000 sg=Pmm2 delta_e_f_mev_per_atom=-488 pbc="T T T"
Cu 2.074 0.000 6.381
Ac 0.000 2.194 0.054
Ac 0.000 0.000 3.776
Cu 2.074 2.194 5.182
Pt 2.074 2.194 2.578
Cu 2.074 0.000 1.194

Record 24
4
Lattice="-2.427 -1.602 -3.278 -1.051 -4.254 -0.072 -7.395 -0.477 2.779" Properties=species:S:1:pos:R:3 comment="GGA-PBE Ac2CuPt, optimized geometry" mass_density_g_cm3=9.49 magnetic_moment_mub_per_atom=0.000 sg=R3m delta_e_f_mev_per_atom=-589 pbc="T T T"
Pt -2.337 -3.900 -2.222
Ac -2.593 -1.613 -0.221
Ac -5.963 -0.816 1.884
Cu -5.417 -3.171 -0.298